No. 1
DFT (SCAN) results for a PBEsol-optimized structure of ZrInAg2.

Calculated values
**DOS(E_F)**: 3.23 states/eV per cell
**ΔH_f (0 K)**: -0.091 eV/atom

Cell and atoms, written as POSCAR:
```
ZrInAg2
1.0
4.212 0.000 0.000
0.000 4.270 0.000
0.000 0.000 4.270
Ag Zr In
2 1 1
direct
0.000 0.500 0.000
0.000 0.000 0.500
0.500 0.000 0.000
0.500 0.500 0.500
```

---

No. 2
DFT (SCAN) results for a PBEsol-optimized structure of KTaN2.

Calculated values
**DOS(E_F)**: 1.53 states/eV per cell
**DFT total energy**: -89.8 eV for the cell shown

Cell and atoms, written as POSCAR:
```
KTaN2
1.0
-1.203 3.393 1.746
-3.582 1.545 -0.888
-2.941 -0.079 2.712
N Ta K
2 1 1
direct
0.750 0.750 0.750
0.250 0.250 0.250
0.500 0.500 0.500
0.000 0.000 0.000
```

---

No. 3
DFT (SCAN) results for a PBEsol-optimized structure of CaZnGe.

Calculated values
**DOS(E_F)**: 0.51 states/eV per cell
**ΔH_f (0 K)**: -0.593 eV/atom

Cell and atoms, written as POSCAR:
```
CaZnGe
1.0
4.250 0.000 0.000
-2.125 3.680 0.000
0.000 0.000 8.014
Ca Zn Ge
2 2 2
direct
0.000 0.000 0.000
0.000 0.000 0.500
0.333 0.667 0.250
0.667 0.333 0.750
0.333 0.667 0.750
0.667 0.333 0.250
```

---

No. 4
DFT (SCAN) results for a PBEsol-optimized structure of CaCoSn3.

Calculated values
**DOS(E_F)**: 2.45 states/eV per cell
**ΔH_f (0 K)**: -0.072 eV/atom

Cell and atoms, written as POSCAR:
```
CaCoSn3
1.0
4.927 0.000 0.000
0.000 4.927 0.000
0.000 0.000 4.927
Sn Ca Co
3 1 1
direct
0.500 0.000 0.000
0.000 0.500 0.000
0.000 0.000 0.500
0.500 0.500 0.500
0.000 0.000 0.000
```